1.
Material: Bi2BIrC
Method: DFT, PBE-GGA
State: relaxed

Cell lengths 5.5174, 3.7417, 5.5174 Å; angles 90.00, 90.00, 90.00 degrees
With the nearest neighbours (Å) after each atom.
Element x y z (fractional)
C1 0.0000 0.5000 0.0000  2 Ir 1.87
B1 0.5000 0.5000 0.5000  8 Bi 3.33
Ir1 0.0000 0.0000 0.0000  2 C 1.87
Bi1 0.0000 0.0000 0.5000  2 Ir 2.76
Bi2 0.5000 0.0000 0.0000  2 Ir 2.76

Properties
* SG: P4/mmm
* ΔE_f: 31.5 kcal/mol of atoms

2.
Material: Dy4YTm
Method: DFT, PBE-GGA
State: relaxed

Cell lengths 6.4208, 8.7052, 8.5877 Å; angles 111.79, 100.95, 111.28 degrees
With the nearest neighbours (Å) after each atom.
Element x y z (fractional)
Dy1 0.8050 0.4237 0.2531  4 Dy 3.30-3.63, 2 Tm 3.39-3.52, 2 Y 3.50-3.53
Dy2 0.1950 0.5763 0.7469  4 Dy 3.30-3.63, 2 Tm 3.39-3.52, 2 Y 3.50-3.53
Dy3 0.0519 0.1706 0.7469  4 Dy 3.30-3.63, 2 Tm 3.39-3.52, 2 Y 3.50-3.53
Dy4 0.9481 0.8294 0.2531  4 Dy 3.30-3.63, 2 Tm 3.39-3.52, 2 Y 3.50-3.53
Y1 0.3343 0.5843 0.1686  10 Dy 3.50-3.82
Tm1 0.7465 0.9965 0.9930  2 Tm 3.21, 8 Dy 3.35-3.52
Dy5 0.7511 0.7107 0.6046  6 Dy 3.30-3.63, 2 Tm 3.35-3.48, 1 Y 3.66
Dy6 0.2489 0.2893 0.3954  6 Dy 3.30-3.63, 2 Tm 3.35-3.48, 1 Y 3.66
Y2 0.6657 0.4157 0.8314  10 Dy 3.50-3.82
Dy7 0.6465 0.1061 0.3954  6 Dy 3.30-3.63, 2 Tm 3.35-3.48, 1 Y 3.66
Dy8 0.3535 0.8939 0.6046  6 Dy 3.30-3.63, 2 Tm 3.35-3.48, 1 Y 3.66
Tm2 0.2535 0.0035 0.0070  2 Tm 3.21, 8 Dy 3.35-3.52

Properties
* SG: C2/c
* ΔE_f: 3.2 kcal/mol of atoms

3.
Material: HgAs2
Method: DFT, PBE-GGA
State: relaxed

Cell lengths 7.5607, 7.5607, 5.7108 Å; angles 90.00, 90.00, 152.54 degrees
With the nearest neighbours (Å) after each atom.
Element x y z (fractional)
As1 0.7040 0.2960 0.0000  2 As 2.48
As2 0.7404 0.2596 0.5000  2 As 2.48
As3 0.0875 0.9125 0.0000  2 As 2.48
As4 0.3570 0.6430 0.5000  2 As 2.48
Hg1 0.3896 0.6104 0.0000  2 As 2.90
Hg2 0.0548 0.9452 0.5000  2 As 2.90

Properties
* SG: Cmcm
* ΔE_f: 2.5 kcal/mol of atoms

4.
Material: NaCaHgSb
Method: DFT, PBE-GGA
State: relaxed

Cell lengths 5.3797, 5.3797, 5.3797 Å; angles 60.00, 60.00, 60.00 degrees
With the nearest neighbours (Å) after each atom.
Element x y z (fractional)
Hg1 0.2500 0.2500 0.2500  4 Na 3.29, 4 Ca 3.29
Ca1 0.5000 0.5000 0.5000  4 Sb 3.29, 4 Hg 3.29
Na1 0.0000 0.0000 0.0000  4 Hg 3.29, 4 Sb 3.29
Sb1 0.7500 0.7500 0.7500  4 Ca 3.29, 4 Na 3.29

Properties
* SG: F-43m
* formation energy (no corrections): -60.98 kJ/mol of atoms

5.
Material: SrCu2H2
Method: DFT, PBE-GGA
State: relaxed

Cell lengths 3.8989, 3.8989, 5.0935 Å; angles 67.50, 67.50, 90.00 degrees
With the nearest neighbours (Å) after each atom.
Element x y z (fractional)
Sr1 0.0000 0.0000 0.0000  8 H 2.90, 10 Cu 2.98-3.05
H1 0.7500 0.2500 0.5000  4 Cu 2.12
Cu1 0.3481 0.3481 0.3037  4 H 2.12
Cu2 0.6519 0.6519 0.6963  4 H 2.12
H2 0.2500 0.7500 0.5000  4 Cu 2.12

Properties
* SG: I4/mmm
* total energy: -3.2447 eV per atom

6.
Material: DyScRh
Method: DFT, PBE-GGA
State: relaxed

Cell lengths 4.4335, 7.0581, 12.7121 Å; angles 90.30, 90.00, 90.00 degrees
With the nearest neighbours (Å) after each atom.
Element x y z (fractional)
Dy1 0.2500 0.3755 0.9105  3 Rh 2.90-3.03
Sc1 0.7500 0.6525 0.7874  4 Rh 2.66-2.91
Rh1 0.2500 0.7208 0.2430  3 Sc 2.66-2.87
Rh2 0.7500 0.7591 0.5667  4 Sc 2.72-2.91, 3 Dy 2.90-3.03
Rh3 0.7500 0.2153 0.1056  2 Dy 2.76-2.90, 5 Sc 2.76-2.81
Rh4 0.2500 0.7847 0.8944  2 Dy 2.76-2.90, 5 Sc 2.76-2.81
Dy2 0.2500 0.4818 0.6192  5 Rh 2.90-3.17
Dy3 0.2500 0.9976 0.7133  3 Rh 2.76-3.03
Rh5 0.2500 0.2409 0.4333  4 Sc 2.72-2.91, 3 Dy 2.90-3.03
Sc2 0.2500 0.9737 0.0853  4 Rh 2.69-2.81
Sc3 0.7500 0.1431 0.5441  4 Rh 2.72-2.87
Sc4 0.2500 0.8569 0.4559  4 Rh 2.72-2.87
Dy4 0.7500 0.0024 0.2867  3 Rh 2.76-3.03
Sc5 0.2500 0.3475 0.2126  4 Rh 2.66-2.91
Dy5 0.7500 0.6245 0.0895  3 Rh 2.90-3.03
Sc6 0.7500 0.0263 0.9147  4 Rh 2.69-2.81
Dy6 0.7500 0.5182 0.3808  5 Rh 2.90-3.17
Rh6 0.7500 0.2792 0.7570  3 Sc 2.66-2.87

Properties
* SG: P2_1/m
* ΔE_f: -16.0 kcal/mol of atoms

7.
Material: BeCdMo2
Method: DFT, PBE-GGA
State: relaxed

Cell lengths 2.7350, 2.7350, 8.5951 Å; angles 90.00, 90.00, 106.36 degrees
With the nearest neighbours (Å) after each atom.
Element x y z (fractional)
Mo1 0.0000 0.0000 0.0173  6 Mo 2.73-2.74, 2 Cd 2.98
Cd1 0.5000 0.5000 0.7281  2 Be 2.67, 4 Cd 2.73, 2 Mo 2.98
Be1 0.0000 0.0000 0.4823  2 Mo 2.44, 2 Cd 2.67
Mo2 0.5000 0.5000 0.2723  2 Be 2.44

Properties
* SG: Cmm2
* ΔE_f: 6.4 kcal/mol of atoms

8.
Material: MgBeGe
Method: DFT, PBE-GGA
State: relaxed

Cell lengths 3.8534, 3.8534, 6.3514 Å; angles 90.00, 90.00, 90.00 degrees
With the nearest neighbours (Å) after each atom.
Element x y z (fractional)
Mg1 0.5000 0.0000 0.6604  5 Ge 2.77-2.82, 4 Be 2.89
Be1 0.0000 0.0000 0.0000  4 Ge 2.40
Be2 0.5000 0.5000 0.0000  4 Ge 2.40
Ge1 0.0000 0.5000 0.7756  4 Be 2.40
Mg2 0.0000 0.5000 0.3396  5 Ge 2.77-2.82, 4 Be 2.89
Ge2 0.5000 0.0000 0.2244  4 Be 2.40

Properties
* SG: P4/nmm
* ΔE_f: -0.9 kcal/mol of atoms

9.
Material: RbTe2Au2
Method: DFT, PBE-GGA
State: relaxed

Cell lengths 8.8995, 8.8995, 3.4517 Å; angles 90.00, 90.00, 90.00 degrees
With the nearest neighbours (Å) after each atom.
Element x y z (fractional)
Au1 0.1579 0.6579 0.5000  6 Te 2.97-3.24
Rb1 0.5000 0.5000 0.0000  4 Te 3.39, 2 Rb 3.45, 8 Au 3.77
Te1 0.1499 0.3501 0.0000  6 Au 2.97-3.24
Te2 0.3501 0.8501 0.0000  6 Au 2.97-3.24
Rb2 0.0000 0.0000 0.0000  4 Te 3.39, 2 Rb 3.45, 8 Au 3.77
Te3 0.8501 0.6499 0.0000  6 Au 2.97-3.24
Au2 0.8421 0.3421 0.5000  6 Te 2.97-3.24
Au3 0.3421 0.1579 0.5000  6 Te 2.97-3.24
Au4 0.6579 0.8421 0.5000  6 Te 2.97-3.24
Te4 0.6499 0.1499 0.0000  6 Au 2.97-3.24

Properties
* SG: P4/mbm
* formation energy (no corrections): -5.40 kJ/mol of atoms

10.
Material: LaGaNi6Ge
Method: DFT, PBE-GGA
State: relaxed

Cell lengths 7.5121, 5.2530, 8.1538 Å; angles 108.79, 117.43, 90.00 degrees
With the nearest neighbours (Å) after each atom.
Element x y z (fractional)
Ni1 0.6428 0.8928 0.2855  2 Ge 2.33, 2 Ga 2.37, 4 Ni 2.55
Ni2 0.1289 0.9066 0.8131  1 Ge 2.44, 6 Ni 2.45-2.63, 1 Ga 2.49
La1 0.2522 0.5022 0.5044  10 Ni 2.98-3.23, 4 Ga 3.23
Ni3 0.0037 0.2537 0.0074  10 Ni 2.45-2.63
Ni4 0.8711 0.5935 0.1869  1 Ge 2.44, 6 Ni 2.45-2.63, 1 Ga 2.49
Ni5 0.6842 0.4065 0.8131  1 Ge 2.44, 6 Ni 2.45-2.63, 1 Ga 2.49
Ge1 0.5000 0.0000 0.0000  6 Ni 2.33-2.44
Ni6 0.6842 0.9066 0.8131  1 Ge 2.44, 6 Ni 2.45-2.63, 1 Ga 2.49
Ni7 0.3158 0.0934 0.1869  1 Ge 2.44, 6 Ni 2.45-2.63, 1 Ga 2.49
Ni8 0.1289 0.4065 0.8131  1 Ge 2.44, 6 Ni 2.45-2.63, 1 Ga 2.49
Ni9 0.3572 0.1072 0.7145  2 Ge 2.33, 2 Ga 2.37, 4 Ni 2.55
Ni10 0.3158 0.5935 0.1869  1 Ge 2.44, 6 Ni 2.45-2.63, 1 Ga 2.49
Ni11 0.9963 0.7463 0.9926  10 Ni 2.45-2.63
Ga1 0.0000 0.0000 0.5000  6 Ni 2.37-2.49
Ga2 0.5000 0.0000 0.5000  6 Ni 2.37-2.49
Ni12 0.8711 0.0934 0.1869  1 Ge 2.44, 6 Ni 2.45-2.63, 1 Ga 2.49
Ge2 0.5000 0.5000 0.0000  6 Ni 2.33-2.44
La2 0.7478 0.4978 0.4956  10 Ni 2.98-3.23, 4 Ga 3.23

Properties
* SG: Imma
* ΔE_f: -5.1 kcal/mol of atoms